Record 1
{
  "formula": "CrCo2Re",
  "functional": "PBE",
  "state": "relaxed",
  "sg": "No. 12",
  "lattice": [[-4.017, -0.416, 1.895], [-3.084, -2.826, 1.552], [1.155, -0.157, 4.251]],
  "species": ["Co", "Cr", "Re", "Co"],
  "fractional_positions": [[0.497, 0.497, 0.507], [0.750, 0.750, 0.750], [0.250, 0.250, 0.250], [0.003, 0.003, 0.993]]
}

=====

Record 2
{
  "formula": "CrCo6Re",
  "functional": "PBE",
  "state": "relaxed",
  "sg": "No. 166",
  "lattice": [[-3.851, 1.800, 2.061], [-2.829, 0.124, -3.781], [-2.348, -4.031, 0.746]],
  "species": ["Re", "Co", "Co", "Co", "Co", "Co", "Cr", "Co"],
  "fractional_positions": [[0.500, 0.500, 0.500], [0.849, 0.849, 0.469], [0.849, 0.469, 0.849], [0.469, 0.849, 0.849], [0.531, 0.151, 0.151], [0.151, 0.531, 0.151], [0.000, 0.000, 0.000], [0.151, 0.151, 0.531]]
}

=====

Record 3
{
  "formula": "CrCo2Re",
  "functional": "PBE",
  "state": "relaxed",
  "sg": "No. 25",
  "lattice": [[4.106, 0.000, 0.000], [0.000, 2.567, 0.020], [0.000, -0.036, 4.477]],
  "species": ["Co", "Cr", "Re", "Co"],
  "fractional_positions": [[0.000, 0.125, 0.965], [0.000, 0.625, 0.448], [0.500, 0.625, 0.794], [0.500, 0.125, 0.293]]
}

=====

The records above give, respectively, polymorph energy (0 for the lowest one) values of 0.161 0.752 0.000 eV/atom.